Compound: PmAsH
Source: Alexandria via LeMat-Bulk
Functional: PBE-GGA
Structure: optimized geometry

Geometry as CIF:
```
data_PmAsH
_symmetry_space_group_name_H-M 'P 4/n m m'
_symmetry_Int_Tables_number 129
_cell_length_a 4.0972
_cell_length_b 4.0972
_cell_length_c 6.4280
_cell_angle_alpha 90.00
_cell_angle_beta 90.00
_cell_angle_gamma 90.00
loop_
_symmetry_equiv_pos_as_xyz
'x,y,z'
'-x,-y,-z'
'-y+1/2,x,z'
'y+1/2,-x,-z'
'-x+1/2,-y+1/2,z'
'x+1/2,y+1/2,-z'
'y,-x+1/2,z'
'-y,x+1/2,-z'
'x+1/2,-y,-z'
'-x+1/2,y,z'
'-y,-x,-z'
'y,x,z'
'-x,y+1/2,-z'
'x,-y+1/2,z'
'y+1/2,x+1/2,-z'
'-y+1/2,-x+1/2,z'
loop_
_atom_site_label
_atom_site_fract_x
_atom_site_fract_y
_atom_site_fract_z
_atom_site_occupancy
Pm1 0.2500 0.2500 0.1968 1
As1 0.2500 0.2500 0.6824 1
H1 0.2500 0.7500 0.0000 1
```

Summary:
Uncorrected energy (eV/cell): -30.1
Energy relative to the lowest polymorph listed for this composition (meV/atom): 0
Calculated volume (Å³/f.u.): 54.0